Record 1
Compound: ZnNi2
Source: the Alexandria database
Functional: PBE
Structure: optimized geometry

abc: 3.3251 3.3251 3.7810
angles: 90.00 90.00 90.00
Last column: nearest neighbours and their distance in Å.
Positions (direct):
Ni 0.5000 0.0000 0.5000  4 Ni 2.35, 4 Zn 2.52
Ni 0.0000 0.5000 0.5000  4 Ni 2.35, 4 Zn 2.52
Zn 0.0000 0.0000 0.0000  8 Ni 2.52

Summary:
* energy of formation: 0.7 eV per formula unit
* V: 13.93 Å³/atom
* magnetization: 0.34 μB/cell
* raw total energy: -4.038 eV per atom

---

Record 2
Compound: Tb8Tl
Source: the Alexandria database
Functional: PBE
Structure: optimized geometry

abc: 4.9048 7.9185 7.9185
angles: 84.50 71.96 71.96
Last column: nearest neighbours and their distance in Å.
Positions (direct):
Tb 0.6619 0.6762 0.0000  10 Tb 3.45-3.61, 2 Tl 3.46
Tb 0.3355 0.6645 0.6645  11 Tb 3.49-3.60, 1 Tl 3.57
Tb 0.3381 0.3238 0.0000  10 Tb 3.45-3.61, 2 Tl 3.46
Tb 0.0000 0.3355 0.6645  11 Tb 3.49-3.60, 1 Tl 3.57
Tb 0.6619 0.0000 0.6762  10 Tb 3.45-3.61, 2 Tl 3.46
Tb 0.3381 0.0000 0.3238  10 Tb 3.45-3.61, 2 Tl 3.46
Tb 0.6645 0.3355 0.3355  11 Tb 3.49-3.60, 1 Tl 3.57
Tb 0.0000 0.6645 0.3355  11 Tb 3.49-3.60, 1 Tl 3.57
Tl 0.0000 0.0000 0.0000  12 Tb 3.46-3.57

Summary:
* energy of formation: -0.4 eV per formula unit
* V: 30.89 Å³/atom
* magnetization: 0.00 μB/cell
* raw total energy: -4.419 eV per atom

---

Record 3
Compound: MgNbMoS2
Source: the Alexandria database
Functional: PBE
Structure: optimized geometry

abc: 4.7828 5.1192 4.7828
angles: 90.00 90.00 90.00
Last column: nearest neighbours and their distance in Å.
Positions (direct):
S 0.5000 0.0000 0.0000  2 Nb 2.39
S 0.0000 0.0000 0.5000  2 Nb 2.39
Mg 0.5000 0.5000 0.5000  4 Mo 3.38, 8 S 3.50
Mo 0.0000 0.5000 0.0000  2 Nb 2.56
Nb 0.0000 0.0000 0.0000  4 S 2.39, 2 Mo 2.56

Summary:
* formation energy from raw total energies: 0.47 eV/atom
* V: 23.42 Å³/atom
* magnetization: 2.99 μB/cell
* raw total energy: -5.676 eV per atom

---

Record 4
Compound: PrSm6Ho3Er2
Source: the Alexandria database
Functional: PBE
Structure: optimized geometry

abc: 6.2188 6.2188 11.8606
angles: 95.00 95.00 119.98
Last column: nearest neighbours and their distance in Å.
Positions (direct):
Sm 0.9160 0.5815 0.7483  3 Ho 3.56-3.57, 6 Sm 3.58-3.60, 2 Er 3.59-3.60, 1 Pr 3.60
Sm 0.5815 0.9160 0.7483  3 Ho 3.56-3.57, 6 Sm 3.58-3.60, 2 Er 3.59-3.60, 1 Pr 3.60
Sm 0.7497 0.7497 0.2515  3 Ho 3.56-3.57, 6 Sm 3.58-3.60, 2 Er 3.59, 1 Pr 3.60
Sm 0.4185 0.0840 0.2517  3 Ho 3.56-3.57, 6 Sm 3.58-3.60, 2 Er 3.59-3.60, 1 Pr 3.60
Sm 0.0840 0.4185 0.2517  3 Ho 3.56-3.57, 6 Sm 3.58-3.60, 2 Er 3.59-3.60, 1 Pr 3.60
Sm 0.2503 0.2503 0.7485  3 Ho 3.56-3.57, 6 Sm 3.58-3.60, 2 Er 3.59, 1 Pr 3.60
Er 0.6666 0.3334 0.0000  3 Er 3.59, 3 Pr 3.59, 6 Sm 3.59-3.60
Er 0.3334 0.6666 0.0000  3 Er 3.59, 3 Pr 3.59, 6 Sm 3.59-3.60
Ho 0.1670 0.8330 0.5000  6 Sm 3.56-3.57, 6 Ho 3.59-3.60
Ho 0.5000 0.5000 0.5000  6 Sm 3.56-3.57, 6 Ho 3.59
Ho 0.8330 0.1670 0.5000  6 Sm 3.56-3.57, 6 Ho 3.59-3.60
Pr 0.0000 0.0000 0.0000  6 Er 3.59, 6 Sm 3.60

Summary:
* energy of formation: 0.2 eV per formula unit
* V: 32.60 Å³/atom
* magnetization: 0.00 μB/cell
* raw total energy: -4.647 eV per atom

---

Record 5
Compound: Pm2Al4Zn3Pd
Source: the Alexandria database
Functional: PBE
Structure: optimized geometry

abc: 4.2358 4.2358 10.7209
angles: 90.00 90.00 90.00
Last column: nearest neighbours and their distance in Å.
Positions (direct):
Al 0.0000 0.0000 0.0000  4 Zn 2.59
Al 0.5000 0.0000 0.6285  3 Zn 2.49-2.53, 2 Pd 2.53
Al 0.0000 0.5000 0.3715  3 Zn 2.49-2.53, 2 Pd 2.53
Al 0.5000 0.5000 0.0000  4 Zn 2.59
Pd 0.5000 0.5000 0.5000  4 Al 2.53
Pm 0.5000 0.0000 0.2501  6 Zn 3.22-3.42, 8 Al 3.27-3.42, 2 Pd 3.42
Pm 0.0000 0.5000 0.7499  6 Zn 3.22-3.42, 8 Al 3.27-3.42, 2 Pd 3.42
Zn 0.0000 0.0000 0.5000  4 Al 2.53
Zn 0.5000 0.0000 0.8611  5 Al 2.49-2.59
Zn 0.0000 0.5000 0.1389  5 Al 2.49-2.59

Summary:
* energy of formation: -5.1 eV per formula unit
* V: 19.24 Å³/atom
* magnetization: 0.00 μB/cell
* raw total energy: -3.863 eV per atom

---

Record 6
Compound: NaCaPmBr6
Source: the Alexandria database
Functional: PBE
Structure: optimized geometry

abc: 7.4150 7.4150 13.3021
angles: 90.00 90.00 120.00
Last column: nearest neighbours and their distance in Å.
Positions (direct):
Br 0.0029 0.6514 0.8716  1 Pm 2.89, 1 Ca 2.92, 1 Na 3.11
Br 0.6484 0.6514 0.6284  1 Pm 2.89, 1 Ca 2.92, 1 Na 3.11
Br 0.9971 0.6484 0.3716  1 Pm 2.89, 1 Ca 2.92, 1 Na 3.11
Br 0.3486 0.9971 0.6284  1 Pm 2.89, 1 Ca 2.92, 1 Na 3.11
Br 0.6514 0.0029 0.3716  1 Pm 2.89, 1 Ca 2.92, 1 Na 3.11
Br 0.3486 0.3516 0.8716  1 Pm 2.89, 1 Ca 2.92, 1 Na 3.11
Br 0.0029 0.3516 0.6284  1 Pm 2.89, 1 Ca 2.92, 1 Na 3.11
Br 0.6514 0.6484 0.1284  1 Pm 2.89, 1 Ca 2.92, 1 Na 3.11
Br 0.3516 0.0029 0.1284  1 Pm 2.89, 1 Ca 2.92, 1 Na 3.11
Br 0.6484 0.9971 0.8716  1 Pm 2.89, 1 Ca 2.92, 1 Na 3.11
Br 0.9971 0.3486 0.1284  1 Pm 2.89, 1 Ca 2.92, 1 Na 3.11
Br 0.3516 0.3486 0.3716  1 Pm 2.89, 1 Ca 2.92, 1 Na 3.11
Pm 0.3333 0.6667 0.7500  6 Br 2.89
Pm 0.6667 0.3333 0.2500  6 Br 2.89
Na 0.0000 0.0000 0.0000  6 Br 3.11
Na 0.0000 0.0000 0.5000  6 Br 3.11
Ca 0.6667 0.3333 0.7500  6 Br 2.92
Ca 0.3333 0.6667 0.2500  6 Br 2.92

Summary:
* formation energy from raw total energies: -1.86 eV/atom
* V: 35.19 Å³/atom
* magnetization: 0.00 μB/cell
* raw total energy: -3.870 eV per atom

---

Record 7
Compound: ThCrPt4
Source: the Alexandria database
Functional: PBE
Structure: optimized geometry

abc: 5.4041 5.4041 5.4041
angles: 60.00 60.00 60.00
Last column: nearest neighbours and their distance in Å.
Positions (direct):
Cr 0.0000 0.0000 0.0000  12 Pt 3.17, 4 Th 3.31
Th 0.2500 0.2500 0.2500  12 Pt 3.17, 4 Cr 3.31
Pt 0.6258 0.6258 0.6258  6 Pt 2.68-2.72
Pt 0.6258 0.1226 0.6258  6 Pt 2.68-2.72
Pt 0.1226 0.6258 0.6258  6 Pt 2.68-2.72
Pt 0.6258 0.6258 0.1226  6 Pt 2.68-2.72

Summary:
* energy of formation: -4.2 eV per formula unit
* V: 18.60 Å³/atom
* magnetization: 4.72 μB/cell
* raw total energy: -7.561 eV per atom

---

Record 8
Compound: CeNd2Th3S6
Source: the Alexandria database
Functional: PBE
Structure: optimized geometry

abc: 4.0481 8.0856 9.0651
angles: 103.43 102.90 90.00
Last column: nearest neighbours and their distance in Å.
Positions (direct):
Ce 0.5000 0.0000 0.0000  6 S 2.85
Nd 0.8344 0.6683 0.6688  6 S 2.85-2.87
Nd 0.1656 0.3317 0.3312  6 S 2.85-2.87
S 0.0004 0.7519 0.0009  1 Nd 2.85, 2 Ce 2.85, 3 Th 2.86-2.87
S 0.3330 0.4157 0.6661  3 Th 2.87, 3 Nd 2.87
S 0.6670 0.5843 0.3339  3 Th 2.87, 3 Nd 2.87
S 0.9996 0.2481 0.9991  1 Nd 2.85, 2 Ce 2.85, 3 Th 2.86-2.87
S 0.6658 0.0836 0.3316  1 Ce 2.85, 2 Nd 2.85, 3 Th 2.86-2.87
S 0.3342 0.9164 0.6684  1 Ce 2.85, 2 Nd 2.85, 3 Th 2.86-2.87
Th 0.1671 0.8352 0.3342  6 S 2.86-2.87
Th 0.5000 0.5000 0.0000  6 S 2.87
Th 0.8329 0.1648 0.6658  6 S 2.86-2.87

Summary:
* formation energy from raw total energies: -1.93 eV/atom
* V: 23.41 Å³/atom
* magnetization: 0.38 μB/cell
* raw total energy: -7.141 eV per atom

---

Record 9
Compound: TaZn2Si
Source: the Alexandria database
Functional: PBE
Structure: optimized geometry

abc: 3.0831 3.8816 5.2325
angles: 90.00 90.00 90.00
Last column: nearest neighbours and their distance in Å.
Positions (direct):
Si 0.5000 0.5000 0.2500  2 Ta 2.62, 8 Zn 2.80
Ta 0.5000 0.5000 0.7500  2 Si 2.62, 8 Zn 2.80
Zn 0.0000 0.0000 0.5000  2 Zn 2.62, 4 Si 2.80, 4 Ta 2.80
Zn 0.0000 0.0000 0.0000  2 Zn 2.62, 4 Si 2.80, 4 Ta 2.80

Summary:
* formation energy from raw total energies: 0.12 eV/atom
* V: 15.65 Å³/atom
* magnetization: 0.00 μB/cell
* raw total energy: -4.834 eV per atom

---

Record 10
Compound: NaAg2MoRu
Source: the Alexandria database
Functional: PBE
Structure: optimized geometry

abc: 5.2666 4.5169 5.2666
angles: 90.00 90.00 90.00
Last column: nearest neighbours and their distance in Å.
Positions (direct):
Ru 0.0000 0.5000 0.0000  2 Mo 2.26
Ag 0.5000 0.0000 0.0000  2 Mo 2.63
Ag 0.0000 0.0000 0.5000  2 Mo 2.63
Mo 0.0000 0.0000 0.0000  2 Ru 2.26
Na 0.5000 0.5000 0.5000  8 Ag 3.47, 4 Ru 3.72

Summary:
* energy of formation: 5.6 eV per formula unit
* V: 25.06 Å³/atom
* magnetization: 0.19 μB/cell
* raw total energy: -4.310 eV per atom

---

Record 11
Compound: Ag2ICl
Source: the Alexandria database
Functional: PBE
Structure: optimized geometry

abc: 6.3068 6.3068 7.7863
angles: 66.11 66.11 90.00
Last column: nearest neighbours and their distance in Å.
Positions (direct):
Cl 0.2500 0.7500 0.5000  4 Ag 2.65
Cl 0.5000 0.5000 0.0000  4 Ag 2.65
I 0.7500 0.2500 0.5000  4 Ag 2.83
I 0.0000 0.0000 0.0000  4 Ag 2.83
Ag 0.8750 0.8502 0.7500  2 Cl 2.65, 2 I 2.83
Ag 0.6002 0.1250 0.2500  2 Cl 2.65, 2 I 2.83
Ag 0.1498 0.6250 0.2500  2 Cl 2.65, 2 I 2.83
Ag 0.3750 0.3998 0.7500  2 Cl 2.65, 2 I 2.83

Summary:
* formation energy from raw total energies: -0.35 eV/atom
* V: 31.73 Å³/atom
* magnetization: 0.00 μB/cell
* raw total energy: -2.620 eV per atom

---

Record 12
Compound: Hf2Ni4Sb
Source: the Alexandria database
Functional: PBE
Structure: optimized geometry

abc: 4.5005 4.5005 7.3199
angles: 72.10 72.10 90.00
Last column: nearest neighbours and their distance in Å.
Positions (direct):
Ni 0.1904 0.1904 0.6193  1 Hf 2.39, 1 Sb 2.51
Ni 0.0000 0.5000 0.0000  2 Sb 2.25
Ni 0.5000 0.0000 0.0000  2 Sb 2.25
Ni 0.8096 0.8096 0.3807  1 Hf 2.39, 1 Sb 2.51
Hf 0.3715 0.3715 0.2571  1 Ni 2.39
Hf 0.6285 0.6285 0.7429  1 Ni 2.39
Sb 0.0000 0.0000 0.0000  6 Ni 2.25-2.51

Summary:
* formation energy from raw total energies: 0.54 eV/atom
* V: 19.07 Å³/atom
* magnetization: 0.00 μB/cell
* raw total energy: -6.197 eV per atom